Record 1
# Np2AlGa6Cu

An optimized crystal structure of Np2AlGa6Cu (PBE, Alexandria).

Lattice parameters (Å, degrees): 6.1715 6.1715 35.7720 90.00 90.00 120.00
Last column: nearest neighbours and their distance in Å.
Space group R-3m (No. 166, hexagonal axes)
Inequivalent atoms, fractional coordinates:
Np 0.0000 0.0000 0.1306 x6  12 Ga 3.12-3.23
Np 0.0000 0.0000 0.3134 x6  9 Ga 3.23-3.31
Al 0.0000 0.0000 0.0000 x3  6 Ga 2.56
Al 0.0000 0.0000 0.5000 x3  2 Cu 2.56, 6 Ga 2.65
Ga 0.0172 0.5086 0.7202 x18  1 Cu 2.39, 1 Al 2.56
Ga 0.0648 0.5324 0.8775 x18  1 Cu 2.34, 2 Ga 2.49
Cu 0.0000 0.0000 0.4285 x6  6 Ga 2.34-2.39, 1 Al 2.56

Results
The uncorrected energy comes out at -309.12 eV for the cell shown. As for the calculated volume: 19.67 Å³/atom.

---

Record 2
# Cs2MnTlI6

An optimized crystal structure of Cs2MnTlI6 (PBE, Alexandria).

Lattice parameters (Å, degrees): 8.2531 8.2531 8.5350 90.00 90.00 120.00
Last column: nearest neighbours and their distance in Å.
Space group P-3m1 (No. 164)
Inequivalent atoms, fractional coordinates:
Cs 0.3333 0.6667 0.3301 x2  9 I 3.95-4.13
Mn 0.0000 0.0000 0.5000 x1  6 I 2.83
Tl 0.0000 0.0000 0.0000 x1  6 I 3.49
I 0.1611 0.3222 0.6924 x6  1 Mn 2.83

Results
For the relative energy among the computed polymorphs, the calculation gives 0.0059 eV/atom. The energy relative to the elements, uncorrected comes out at -0.879 eV per atom. The uncorrected energy comes out at -31.34 eV for the cell shown. As for the calculated volume: 50.35 Å³/atom.

---

Record 3
# Ta2CrIn

An optimized crystal structure of Ta2CrIn (PBE, Alexandria).

Lattice parameters (Å, degrees): 4.1630 4.1630 7.9900 90.00 90.00 90.00
Last column: nearest neighbours and their distance in Å.
Space group I4/mmm (No. 139)
Inequivalent atoms, fractional coordinates:
Ta 0.0000 0.5000 0.2500 x4  4 Cr 2.88, 4 In 2.88, 4 Ta 2.94
Cr 0.0000 0.0000 0.0000 x2  8 Ta 2.88, 4 In 2.94
In 0.0000 0.0000 0.5000 x2  8 Ta 2.88, 4 Cr 2.94

Results
The uncorrected energy comes out at -69.61 eV for the cell shown. As for the calculated volume: 17.31 Å³/atom.